# 1
## LaAl2Ni (PBE)

Data for a geometry-optimized LaAl2Ni structure.

The calculation puts the calculated total energy at -38.5 eV per cell. Its formation energy is -0.260 eV per atom.

It has space group I-4m2 (No. 119), with a = 4.757 Å, b = 4.757 Å, c = 6.742 Å, α = 90.00°, β = 90.00° and γ = 90.00°. The distinct sites, in fractional coordinates, are La at (0.000, 0.000, 0.000), Al at (0.000, 0.000, 0.500), Al at (0.000, 0.500, 0.250) and Ni at (0.000, 0.500, 0.750).

# 2
## Ba2CaHgP (PBE)

Data for a geometry-optimized Ba2CaHgP structure.

The calculation puts the calculated total energy at -14.4 eV per cell. Its formation energy is -0.562 eV per atom.

It has space group P4/mmm (No. 123), with a = 6.292 Å, b = 6.292 Å, c = 5.439 Å, α = 90.00°, β = 90.00° and γ = 90.00°. The distinct sites, in fractional coordinates, are Ba at (0.000, 0.500, 0.000), Ca at (0.000, 0.000, 0.500), Hg at (0.500, 0.500, 0.500) and P at (0.000, 0.000, 0.000).

# 3
## AgHg4Cl (PBE)

Data for a geometry-optimized AgHg4Cl structure.

The calculation puts the calculated total energy at -21.0 eV per cell. For the uncorrected formation energy, the calculation gives 10.7 kJ/mol of atoms.

It has space group F-43m (No. 216), with a = 8.585 Å, b = 8.585 Å, c = 8.585 Å, α = 90.00°, β = 90.00° and γ = 90.00°. The distinct sites, in fractional coordinates, are Ag at (0.000, 0.000, 0.000), Hg at (0.125, 0.125, 0.375) and Cl at (0.250, 0.250, 0.750).

# 4
## ErTm2Np (PBE)

Data for a geometry-optimized ErTm2Np structure.

The calculation puts the calculated total energy at -74.0 eV per cell. Its formation energy is 0.447 eV per atom.

It has space group R-3m (No. 166, hexagonal axes), with a = 3.3317 Å, b = 3.3317 Å, c = 36.3747 Å, α = 90.00°, β = 90.00° and γ = 120.00°. The distinct sites, in fractional coordinates, are Er at (0.0000, 0.0000, 0.0000), Tm at (0.0000, 0.0000, 0.4109) and Np at (0.0000, 0.0000, 0.5000).

# 5
## GeAsN2 (PBE)

Data for a geometry-optimized GeAsN2 structure.

The calculation puts the calculated total energy at -79.5 eV per cell. The distance to the lowest polymorph of the same formula is 1061 meV per atom. For the uncorrected formation energy, the calculation gives 145.9 kJ/mol of atoms.

It has space group Fm-3m (No. 225), with a = 5.656 Å, b = 5.656 Å, c = 5.656 Å, α = 90.00°, β = 90.00° and γ = 90.00°. The distinct sites, in fractional coordinates, are Ge at (0.000, 0.000, 0.000), As at (0.000, 0.000, 0.500) and N at (0.250, 0.250, 0.250).

# 6
## Tm5ScTl6 (PBE)

Data for a geometry-optimized Tm5ScTl6 structure.

The calculation puts the calculated total energy at -92.5 eV per cell. Its formation energy is -0.280 eV per atom.

It has space group Immm (No. 71), with a = 4.971 Å, b = 8.465 Å, c = 14.797 Å, α = 90.00°, β = 90.00° and γ = 90.00°. The distinct sites, in fractional coordinates, are Tm at (0.000, 0.000, 0.000), Tm at (0.000, 0.000, 0.336), Tm at (0.000, 0.500, 0.333), Sc at (0.000, 0.500, 0.000), Tl at (0.000, 0.247, 0.500) and Tl at (0.000, 0.252, 0.165).

# 7
## Be2Au (PBE)

Data for a geometry-optimized Be2Au structure.

The calculation puts the calculated total energy at -43.7 eV per cell. Its formation energy is -0.062 eV per atom.

It has space group C2/m (No. 12), with a = 8.551 Å, b = 2.931 Å, c = 5.894 Å, α = 90.00°, β = 109.85° and γ = 90.00°. The distinct sites, in fractional coordinates, are Be at (0.025, 0.000, 0.239), Be at (0.144, 0.500, 0.045) and Au at (0.171, 0.500, 0.654).

# 8
## DyCoSi (PBE)

Data for a geometry-optimized DyCoSi structure.

The calculation puts the calculated total energy at -19.0 eV per cell. For the uncorrected formation energy, the calculation gives -61.0 kJ/mol of atoms.

It has space group P-6m2 (No. 187), with a = 3.9974 Å, b = 3.9974 Å, c = 3.8698 Å, α = 90.00°, β = 90.00° and γ = 120.00°. The distinct sites, in fractional coordinates, are Dy at (0.0000, 0.0000, 0.0000), Co at (0.3333, 0.6667, 0.5000) and Si at (0.6667, 0.3333, 0.5000).

# 9
## Li2CdIn4Sn (PBE)

Data for a geometry-optimized Li2CdIn4Sn structure.

The calculation puts the calculated total energy at -40.8 eV per cell. Its formation energy is -0.086 eV per atom.

It has space group C2/m (No. 12), with a = 9.921 Å, b = 4.913 Å, c = 8.293 Å, α = 90.00°, β = 105.60° and γ = 90.00°. The distinct sites, in fractional coordinates, are Li at (0.130, 0.000, 0.203), Cd at (0.000, 0.500, 0.000), In at (0.155, 0.500, 0.403), In at (0.179, 0.000, 0.877) and Sn at (0.000, 0.000, 0.500).

# 10
## Tb6BiS4 (PBE)

Data for a geometry-optimized Tb6BiS4 structure.

The calculation puts the calculated total energy at -264.2 eV per cell. For the uncorrected formation energy, the calculation gives -156.8 kJ/mol of atoms.

It has space group Cmcm (No. 63), with a = 4.040 Å, b = 12.953 Å, c = 20.216 Å, α = 90.00°, β = 90.00° and γ = 90.00°. The distinct sites, in fractional coordinates, are Tb at (0.000, 0.000, 0.000), Tb at (0.000, 0.153, 0.250), Tb at (0.000, 0.272, 0.585), Tb at (0.000, 0.461, 0.157), Bi at (0.000, 0.162, 0.750), S at (0.000, 0.094, 0.121) and S at (0.000, 0.362, 0.038).

# 11
## SbTeI2F (PBE)

Data for a geometry-optimized SbTeI2F structure.

The calculation puts the calculated total energy at -11.9 eV per cell. The distance to the lowest polymorph of the same formula is 105 meV per atom. For the uncorrected formation energy, the calculation gives 5.8 kJ/mol of atoms.

It has space group P4/mmm (No. 123), with a = 5.957 Å, b = 5.957 Å, c = 4.231 Å, α = 90.00°, β = 90.00° and γ = 90.00°. The distinct sites, in fractional coordinates, are Sb at (0.000, 0.000, 0.000), Te at (0.500, 0.500, 0.000), I at (0.000, 0.500, 0.500) and F at (0.500, 0.500, 0.500).

# 12
## LaYSi4 (PBE)

Data for a geometry-optimized LaYSi4 structure.

The calculation puts the calculated total energy at -145.0 eV per cell. The distance to the lowest polymorph of the same formula is 0 meV per atom. For the uncorrected formation energy, the calculation gives -50.9 kJ/mol of atoms.

It has space group Pbam (No. 55), with a = 7.408 Å, b = 16.304 Å, c = 4.213 Å, α = 90.00°, β = 90.00° and γ = 90.00°. The distinct sites, in fractional coordinates, are La at (0.132, 0.168, 0.000), Y at (0.137, 0.413, 0.000), Si at (0.030, 0.686, 0.500), Si at (0.095, 0.941, 0.500), Si at (0.147, 0.543, 0.500) and Si at (0.208, 0.803, 0.500).